A relaxed KAsIr2 crystal, computed with GGA-PBE.

a = 2.931 Å, b = 5.402 Å, c = 9.823 Å
α = 90.00°, β = 90.00°, γ = 90.00°
Space group Immm (No. 71)
Unique sites:
K  0.000  0.000  0.000 (multiplicity 2)
As  0.000  0.000  0.500 (multiplicity 2)
Ir  0.000  0.500  0.195 (multiplicity 4)

Output
total moment: 0.00 μB per formula unit
VASP energy: -42.42 eV for the cell shown

A relaxed K2AsIr crystal, computed with GGA-PBE.

a = 4.163 Å, b = 5.396 Å, c = 11.415 Å
α = 90.00°, β = 90.00°, γ = 90.00°
Space group Amm2 (No. 38)
Unique sites:
K  0.000  0.000  0.000 (multiplicity 2)
K  0.500  0.000  0.295 (multiplicity 2)
As  0.000  0.000  0.694 (multiplicity 2)
Ir  0.500  0.000  0.603 (multiplicity 2)

Output
total moment: 0.00 μB per formula unit
VASP energy: -32.30 eV for the cell shown

A relaxed KAs2Ir2 crystal, computed with GGA-PBE.

a = 7.979 Å, b = 7.979 Å, c = 2.941 Å
α = 90.00°, β = 90.00°, γ = 90.00°
Space group P4/mbm (No. 127)
Unique sites:
K  0.000  0.000  0.000 (multiplicity 2)
As  0.142  0.358  0.000 (multiplicity 4)
Ir  0.127  0.627  0.500 (multiplicity 4)

Output
total moment: 0.00 μB per formula unit
VASP energy: -55.02 eV for the cell shown

A relaxed KAsIr2 crystal, computed with GGA-PBE.

a = 2.973 Å, b = 2.973 Å, c = 8.547 Å
α = 90.00°, β = 90.00°, γ = 90.00°
Space group P4/mmm (No. 123)
Unique sites:
K  0.000  0.000  0.000 (multiplicity 1)
As  0.000  0.000  0.500 (multiplicity 1)
Ir  0.500  0.500  0.321 (multiplicity 2)

Output
total moment: 0.00 μB per formula unit
VASP energy: -21.81 eV for the cell shown

A relaxed KAsIr2 crystal, computed with GGA-PBE.

a = 2.777 Å, b = 5.605 Å, c = 10.434 Å
α = 90.00°, β = 90.00°, γ = 90.00°
Space group Imm2 (No. 44)
Unique sites:
K  0.000  0.000  0.000 (multiplicity 2)
As  0.000  0.500  0.216 (multiplicity 2)
Ir  0.000  0.000  0.519 (multiplicity 2)
Ir  0.000  0.500  0.810 (multiplicity 2)

Output
total moment: 0.00 μB per formula unit
VASP energy: -43.17 eV for the cell shown

A relaxed K2AsIr crystal, computed with GGA-PBE.

a = 7.163 Å, b = 7.163 Å, c = 7.163 Å
α = 90.00°, β = 90.00°, γ = 90.00°
Space group F-43m (No. 216)
Unique sites:
K  0.000  0.000  0.000 (multiplicity 4)
K  0.250  0.250  0.250 (multiplicity 4)
As  0.250  0.250  0.750 (multiplicity 4)
Ir  0.000  0.000  0.500 (multiplicity 4)

Output
total moment: 0.00 μB per formula unit
VASP energy: -53.99 eV for the cell shown

A relaxed K2AsIr crystal, computed with GGA-PBE.

a = 12.664 Å, b = 12.664 Å, c = 4.576 Å
α = 90.00°, β = 90.00°, γ = 90.00°
Space group I-42d (No. 122)
Unique sites:
K  0.016  0.250  0.125 (multiplicity 8)
As  0.000  0.000  0.000 (multiplicity 4)
Ir  0.000  0.000  0.500 (multiplicity 4)

Output
total moment: 0.00 μB per formula unit
VASP energy: -62.92 eV for the cell shown

A relaxed KAsIr2 crystal, computed with GGA-PBE.

a = 6.594 Å, b = 6.594 Å, c = 6.594 Å
α = 90.00°, β = 90.00°, γ = 90.00°
Space group F-43m (No. 216)
Unique sites:
K  0.000  0.000  0.000 (multiplicity 4)
As  0.250  0.250  0.750 (multiplicity 4)
Ir  0.000  0.000  0.500 (multiplicity 4)
Ir  0.250  0.250  0.250 (multiplicity 4)

Output
total moment: 0.00 μB per formula unit
VASP energy: -79.08 eV for the cell shown

A relaxed K2As2Ir crystal, computed with GGA-PBE.

a = 6.427 Å, b = 6.427 Å, c = 5.602 Å
α = 90.00°, β = 90.00°, γ = 90.00°
Space group P4/mbm (No. 127)
Unique sites:
K  0.180  0.320  0.000 (multiplicity 4)
As  0.138  0.638  0.500 (multiplicity 4)
Ir  0.000  0.000  0.500 (multiplicity 2)

Output
total moment: 0.00 μB per formula unit
VASP energy: -44.09 eV for the cell shown

A relaxed KAsIr2 crystal, computed with GGA-PBE.

a = 3.0320 Å, b = 3.0320 Å, c = 28.1817 Å
α = 90.00°, β = 90.00°, γ = 120.00°
Space group R-3m (No. 166, hexagonal axes)
Unique sites:
K  0.0000  0.0000  0.0000 (multiplicity 3)
As  0.0000  0.0000  0.5000 (multiplicity 3)
Ir  0.0000  0.0000  0.2316 (multiplicity 6)

Output
total moment: 0.00 μB per formula unit
VASP energy: -64.16 eV for the cell shown

A relaxed K2AsIr crystal, computed with GGA-PBE.

a = 2.909 Å, b = 2.909 Å, c = 10.598 Å
α = 90.00°, β = 90.00°, γ = 90.00°
Space group P4/mmm (No. 123)
Unique sites:
K  0.000  0.000  0.248 (multiplicity 2)
As  0.500  0.500  0.500 (multiplicity 1)
Ir  0.500  0.500  0.000 (multiplicity 1)

Output
total moment: 0.53 μB per formula unit
VASP energy: -13.82 eV for the cell shown

A relaxed KAsIr2 crystal, computed with GGA-PBE.

a = 5.803 Å, b = 10.309 Å, c = 2.685 Å
α = 90.00°, β = 116.90°, γ = 90.00°
Space group C2/m (No. 12)
Unique sites:
K  0.000  0.000  0.000 (multiplicity 2)
As  0.000  0.500  0.000 (multiplicity 2)
Ir  0.250  0.250  0.000 (multiplicity 4)

Output
total moment: 0.00 μB per formula unit
VASP energy: -40.97 eV for the cell shown